# 1
First-principles (meta-GGA SCAN) data for a PBEsol-optimized structure of Rb2LiScF6, as listed in the Alexandria database.

Unit cell a=5.856 b=5.856 c=5.856 alpha=60.00 beta=60.00 gamma=60.00
Sites, in units of the cell vectors:
1 F 0.756 0.244 0.244
2 F 0.756 0.756 0.244
3 Li 0.500 0.500 0.500
4 F 0.244 0.244 0.756
5 F 0.244 0.756 0.756
6 Sc 0.000 0.000 0.000
7 F 0.244 0.756 0.244
8 F 0.756 0.244 0.756
9 Rb 0.750 0.750 0.750
10 Rb 0.250 0.250 0.250

## Properties
symmetry = Fm-3m (225)
crystal system = cubic
formation energy (no corrections) = -3.567 eV/atom
total moment = 0.000 μB/atom
D(E_F) = 0.00 states/eV/f.u.


# 2
First-principles (meta-GGA SCAN) data for a PBEsol-optimized structure of Ta2TlIr, as listed in the Alexandria database.

Unit cell a=2.919 b=2.919 c=8.357 alpha=90.00 beta=90.00 gamma=90.00
Sites, in units of the cell vectors:
1 Ta 0.500 0.500 0.238
2 Ir 0.500 0.500 0.768
3 Ta 0.000 0.000 0.978
4 Tl 0.000 0.000 0.516

## Properties
symmetry = P4mm (99)
ΔE to the lowest computed polymorph = 22 meV per atom
crystal system = tetragonal
total moment = 0.000 μB/atom
calculated formation energy = 10 kJ per mole of atoms
D(E_F) = 3.17 states/eV/f.u.


# 3
First-principles (meta-GGA SCAN) data for a PBEsol-optimized structure of AgAsSe2Br, as listed in the Alexandria database.

Unit cell a=4.990 b=4.990 c=5.143 alpha=90.00 beta=90.00 gamma=90.00
Sites, in units of the cell vectors:
1 Br 0.000 0.000 0.500
2 Ag 0.500 0.500 0.500
3 Se 0.500 0.000 0.000
4 As 0.000 0.000 0.000
5 Se 0.000 0.500 0.000

## Properties
symmetry = P4/mmm (123)
crystal system = tetragonal
formation energy (no corrections) = 0.341 eV/atom
total moment = 0.000 μB/atom
D(E_F) = 1.71 states/eV/f.u.


# 4
First-principles (meta-GGA SCAN) data for a PBEsol-optimized structure of HgRu2Cl, as listed in the Alexandria database.

Unit cell a=2.832 b=2.907 c=8.671 alpha=90.00 beta=90.00 gamma=119.15
Sites, in units of the cell vectors:
1 Cl 0.500 0.000 0.500
2 Ru 0.000 0.000 0.274
3 Ru 0.000 0.000 0.726
4 Hg 0.500 0.000 0.000

## Properties
symmetry = Cmmm (65)
ΔE to the lowest computed polymorph = 534 meV per atom
crystal system = orthorhombic
formation energy (no corrections) = 0.770 eV/atom
total moment = 0.000 μB/atom
D(E_F) = 4.36 states/eV/f.u.


# 5
First-principles (meta-GGA SCAN) data for a PBEsol-optimized structure of Ba2MnCrI, as listed in the Alexandria database.

Unit cell a=5.014 b=6.480 c=6.480 alpha=90.00 beta=90.00 gamma=90.00
Last column: magnetic moment on the atom in μB.
Sites, in units of the cell vectors:
1 Mn 0.500 0.500 0.500  4.64
2 Ba 0.000 0.500 0.000  -0.06
3 I 0.000 0.000 0.000  -0.02
4 Ba 0.000 0.000 0.500  -0.06
5 Cr 0.500 0.000 0.000  4.08

## Properties
symmetry = P4/mmm (123)
crystal system = tetragonal
formation energy (no corrections) = 0.286 eV/atom
total moment = 1.814 μB/atom
D(E_F) = 5.81 states/eV/f.u.


# 6
First-principles (meta-GGA SCAN) data for a PBEsol-optimized structure of Sc2ReRh, as listed in the Alexandria database.

Unit cell a=3.407 b=3.407 c=5.932 alpha=90.00 beta=90.00 gamma=90.00
Sites, in units of the cell vectors:
1 Re 0.000 0.000 0.492
2 Sc 0.500 0.500 0.289
3 Sc 0.000 0.000 0.959
4 Rh 0.500 0.500 0.760

## Properties
symmetry = P4mm (99)
crystal system = tetragonal
total moment = 0.000 μB/atom
calculated formation energy = -1 kJ per mole of atoms
D(E_F) = 4.53 states/eV/f.u.


# 7
First-principles (meta-GGA SCAN) data for a PBEsol-optimized structure of Be2PtCl, as listed in the Alexandria database.

Unit cell a=2.791 b=3.143 c=7.801 alpha=101.62 beta=100.31 gamma=90.00
Sites, in units of the cell vectors:
1 Cl 0.509 0.509 0.018
2 Be 0.752 0.252 0.505
3 Pt 0.306 0.806 0.612
4 Be 0.933 0.933 0.865

## Properties
symmetry = Imm2 (44)
ΔE to the lowest computed polymorph = 242 meV per atom
crystal system = orthorhombic
formation energy (no corrections) = -0.444 eV/atom
total moment = 0.000 μB/atom
D(E_F) = 0.67 states/eV/f.u.


# 8
First-principles (meta-GGA SCAN) data for a PBEsol-optimized structure of TaMo, as listed in the Alexandria database.

Unit cell a=2.805 b=5.256 c=6.952 alpha=77.71 beta=81.91 gamma=79.18
Sites, in units of the cell vectors:
1 Mo 0.661 0.666 0.834
2 Mo 0.500 0.500 0.500
3 Mo 0.339 0.334 0.166
4 Ta 0.821 0.828 0.167
5 Ta 0.000 0.000 0.500
6 Ta 0.179 0.172 0.833

## Properties
symmetry = P-1 (2)
crystal system = triclinic
total moment = 0.000 μB/atom
calculated formation energy = -12 kJ per mole of atoms
D(E_F) = 1.38 states/eV/f.u.